A plane-wave DFT calculation with GGA-PBE was carried out for a relaxed structure of VReTc3.

Values from the calculation:
SG ... Pm-3m (221)
ΔH_f (0 K) ... 1.4159 eV/atom

```
VReTc3
1.0
4.3769 0.0000 0.0000
0.0000 4.3769 0.0000
0.0000 0.0000 4.3769
Tc Re V
3 1 1
direct
0.5000 0.0000 0.0000 Tc
0.0000 0.5000 0.0000 Tc
0.0000 0.0000 0.5000 Tc
0.5000 0.5000 0.5000 Re
0.0000 0.0000 0.0000 V
```

***

A plane-wave DFT calculation with GGA-PBE was carried out for a relaxed structure of LiErAlSn.

Values from the calculation:
SG ... F-43m (216)
ΔH_f (0 K) ... -0.2946 eV/atom

```
LiErAlSn
1.0
-2.7951 3.7666 -1.7473
-4.9706 -0.0932 0.5811
-2.2070 3.1663 3.1869
Li Al Sn Er
1 1 1 1
direct
0.5000 0.5000 0.5000 Li
0.7500 0.7500 0.7500 Al
0.2500 0.2500 0.2500 Sn
0.0000 0.0000 0.0000 Er
```

***

A plane-wave DFT calculation with GGA-PBE was carried out for a relaxed structure of Zr2ZnSnMo.

Values from the calculation:
SG ... P4/mmm (123)
ΔH_f (0 K) ... 0.5902 eV/atom

```
Zr2ZnSnMo
1.0
-3.9397 -0.5999 -3.0239
3.0026 -1.2944 -3.6551
-0.3511 -4.7877 1.4071
Mo Zr Sn Zn
1 2 1 1
direct
0.0000 0.0000 0.0000 Mo
0.5000 0.0000 0.0000 Zr
0.0000 0.0000 0.5000 Zr
0.5000 0.5000 0.5000 Sn
0.0000 0.5000 0.0000 Zn
```

***

A plane-wave DFT calculation with GGA-PBE was carried out for a relaxed structure of CdAsSe2N.

Values from the calculation:
Formation energy from raw total energies ... 1216 meV/atom
SG ... P4/mmm (123)

```
CdAsSe2N
1.0
-2.6008 -2.4511 3.9337
0.3180 -4.5944 -2.6526
3.5958 -0.8264 1.8625
Se As Cd N
2 1 1 1
direct
0.5000 0.0000 0.0000 Se
0.0000 0.5000 0.0000 Se
0.5000 0.5000 0.5000 As
0.0000 0.0000 0.0000 Cd
0.0000 0.0000 0.5000 N
```

***

A plane-wave DFT calculation with GGA-PBE was carried out for a relaxed structure of Ti2SiAs.

Values from the calculation:
Formation energy from raw total energies ... -575 meV/atom
SG ... R3m (160)

```
Ti2SiAs
1.0
-0.8597 -3.0665 1.6899
1.5897 -0.8435 3.1241
-4.2115 1.6316 4.6639
Ti Si As
2 1 1
direct
0.0803 0.0803 0.7592 Ti
0.2524 0.2524 0.2429 Ti
0.4992 0.4992 0.5024 Si
0.6681 0.6681 0.9956 As
```

***

A plane-wave DFT calculation with GGA-PBE was carried out for a relaxed structure of Ac5Bi4Sb.

Values from the calculation:
Formation energy from raw total energies ... -1048 meV/atom
SG ... Immm (71)

```
Ac5Bi4Sb
1.0
-4.4580 -1.7040 0.9489
0.5813 -4.4312 -5.2264
6.7026 -5.1985 9.6771
Bi Ac Sb
4 5 1
direct
0.8009 0.8009 0.6018 Bi
0.4000 0.4000 0.8000 Bi
0.1991 0.1991 0.3982 Bi
0.6000 0.6000 0.2000 Bi
0.7996 0.2996 0.5992 Ac
0.2004 0.7004 0.4008 Ac
0.0000 0.5000 0.0000 Ac
0.5979 0.0979 0.1958 Ac
0.4021 0.9021 0.8042 Ac
0.0000 0.0000 0.0000 Sb
```

***

Sequential DOS(E_F) output: 0.965, 0.564, 0.573, 0.685, 0.781, 0.125 states/eV/atom